a | PBE-GGA TaFeTeI2, optimized geometry; crystal system = tetragonal
1.0
4.980 0.000 0.000
0.000 4.980 0.000
0.000 0.000 5.033
I Fe Ta Te
2 1 1 1
Cartesian
0.000 2.490 0.000 I
2.490 0.000 0.000 I
0.000 0.000 0.000 Fe
2.490 2.490 2.517 Ta
0.000 0.000 2.517 Te


b | PBE-GGA TaFeTeI2, optimized geometry; crystal system = tetragonal
1.0
-4.424 0.498 3.368
2.995 -2.059 4.237
1.570 5.004 1.322
I Ta Fe Te
2 1 1 1
Cartesian
1.497 -1.029 2.119 I
-2.212 0.249 1.684 I
0.000 0.000 0.000 Ta
0.071 1.722 4.464 Fe
0.785 2.502 0.661 Te


The winner here is b, beating the second structure by 34.3 kJ/mol of atoms.


a | PBE-GGA Fe2TcI, optimized geometry; crystal system = tetragonal
1.0
-3.539 2.881 3.297
-4.366 -2.002 -2.937
-4.257 -3.619 3.399
Tc I Fe
2 2 4
Cartesian
-6.287 -2.591 0.321 Tc
-3.952 0.439 0.180 Tc
-5.874 -0.150 3.438 I
0.000 0.000 0.000 I
-4.363 -1.692 -0.455 Fe
-6.315 -2.457 2.578 Fe
-9.951 -1.873 2.970 Fe
-3.694 0.541 2.424 Fe


b | PBE-GGA Fe2TcI, optimized geometry; crystal system = cubic
1.0
-1.100 0.708 4.180
-3.988 1.518 0.988
-2.911 -2.613 1.971
I Fe Tc
1 2 1
Cartesian
-4.000 -0.194 3.570 I
-2.000 -0.097 1.785 Fe
-6.000 -0.290 5.354 Fe
0.000 0.000 0.000 Tc


The winner here is b, beating the second structure by 12.0 kJ/mol of atoms.